{"formula": "EuP2Pd2", "functional": "PBEsol", "state": "optimized geometry", "spacegroup": "I4/mmm", "volume_a3_per_atom": 16.52, "mass_density_g_cm3": 8.58, "delta_e_f_kj_per_mol_fu": -473, "n_ef_per_ev_cell": 9.12, "lattice": [[4.1126, 0.0000, 0.0000], [0.0000, 4.1126, 0.0000], [-2.0563, -2.0563, 4.8830]], "species": ["Eu", "P", "P", "Pd", "Pd"], "frac_coords": [[0.0000, 0.0000, 0.0000], [0.6130, 0.6130, 0.2261], [0.3870, 0.3870, 0.7739], [0.7500, 0.2500, 0.5000], [0.2500, 0.7500, 0.5000]]}

{"formula": "BaZn2Sb", "functional": "PBEsol", "state": "optimized geometry", "spacegroup": "P4/mmm", "e_form_raw_ev_per_atom": -0.13, "volume_a3_per_atom": 25.53, "mass_density_g_cm3": 6.34, "n_ef_per_ev_cell": 2.58, "lattice": [[3.8152, 0.0000, 0.0000], [0.0000, 3.8152, 0.0000], [0.0000, 0.0000, 7.0168]], "species": ["Ba", "Sb", "Zn", "Zn"], "frac_coords": [[0.5000, 0.5000, 0.0000], [0.5000, 0.5000, 0.5000], [0.0000, 0.0000, 0.6890], [0.0000, 0.0000, 0.3110]]}

{"formula": "Eu2InPt2", "functional": "PBEsol", "state": "optimized geometry", "spacegroup": "C2/c", "volume_a3_per_atom": 22.76, "mass_density_g_cm3": 11.80, "delta_e_f_kj_per_mol_fu": -431, "n_ef_per_ev_cell": 35.09, "lattice": [[-1.4204, 5.5180, -0.4516], [-3.6045, -3.6737, 2.6200], [5.3163, 1.8564, 5.9615]], "species": ["Eu", "Eu", "Eu", "Eu", "Pt", "Pt", "Pt", "Pt", "In", "In"], "frac_coords": [[0.2032, 0.7040, 0.3513], [0.4991, 0.2960, 0.1487], [0.7968, 0.2960, 0.6487], [0.5009, 0.7040, 0.8513], [0.0006, 0.7274, 0.9986], [0.2732, 0.2726, 0.5014], [0.9994, 0.2726, 0.0014], [0.7268, 0.7274, 0.4986], [0.8426, 0.0000, 0.2500], [0.1574, 0.0000, 0.7500]]}

{"formula": "AsAu5", "functional": "PBEsol", "state": "optimized geometry", "spacegroup": "P-62m", "volume_a3_per_atom": 17.14, "mass_density_g_cm3": 17.11, "delta_e_f_kj_per_mol_fu": 45, "n_ef_per_ev_cell": 1.64, "lattice": [[-2.4851, 3.6311, 1.5414], [-4.2223, -2.7434, -0.3449], [2.6640, 0.0036, 4.2867]], "species": ["As", "Au", "Au", "Au", "Au", "Au"], "frac_coords": [[0.5000, 0.0000, 0.0000], [0.0000, 0.3328, 0.3328], [0.0000, 0.6672, 0.0000], [0.0000, 0.0000, 0.6672], [0.5000, 0.3333, 0.6667], [0.5000, 0.6667, 0.3333]]}

{"formula": "LaBiPd2Au", "functional": "PBEsol", "state": "optimized geometry", "spacegroup": "P4/mmm", "volume_a3_per_atom": 29.95, "mass_density_g_cm3": 8.40, "delta_e_f_kj_per_mol_fu": 431, "n_ef_per_ev_cell": 3.17, "lattice": [[4.9315, 0.0000, 0.0000], [0.0000, 4.9315, 0.0000], [0.0000, 0.0000, 6.1574]], "species": ["Au", "Bi", "Pd", "Pd", "La"], "frac_coords": [[0.5000, 0.5000, 0.5000], [0.0000, 0.0000, 0.5000], [0.0000, 0.5000, 0.0000], [0.5000, 0.0000, 0.0000], [0.0000, 0.0000, 0.0000]]}

{"formula": "ScCo", "functional": "PBEsol", "state": "optimized geometry", "spacegroup": "P6_3/mmc", "volume_a3_per_atom": 15.21, "mass_density_g_cm3": 5.67, "delta_e_f_kj_per_mol_fu": 14, "n_ef_per_ev_cell": 4.53, "lattice": [[-0.7917, -1.3734, 2.5721], [-1.5965, -0.4766, -2.5205], [4.5614, -5.9379, -1.7666]], "species": ["Co", "Co", "Sc", "Sc"], "frac_coords": [[0.6667, 0.3333, 0.7500], [0.3333, 0.6667, 0.2500], [0.0000, 0.0000, 0.0000], [0.0000, 0.0000, 0.5000]]}

{"formula": "CaMg3N", "functional": "PBEsol", "state": "optimized geometry", "spacegroup": "Pm-3m", "e_form_raw_ev_per_atom": 1.85, "volume_a3_per_atom": 50.37, "mass_density_g_cm3": 0.84, "n_ef_per_ev_cell": 5.30, "e_above_lowest_polymorph_mev_per_atom": 1904, "lattice": [[-5.7368, 2.5044, -0.8344], [-0.3038, -2.6093, -5.7427], [-2.6222, -5.1767, 2.4909]], "species": ["Ca", "Mg", "Mg", "Mg", "N"], "frac_coords": [[0.0000, 0.0000, 0.0000], [0.0000, 0.5000, 0.0000], [0.0000, 0.0000, 0.5000], [0.5000, 0.0000, 0.0000], [0.5000, 0.5000, 0.5000]]}

{"formula": "SnPb2Au2", "functional": "PBEsol", "state": "optimized geometry", "spacegroup": "P4/mbm", "volume_a3_per_atom": 23.90, "mass_density_g_cm3": 12.88, "delta_e_f_kj_per_mol_fu": -20, "n_ef_per_ev_cell": 5.49, "lattice": [[4.2543, 0.0000, 0.0000], [0.0000, 7.4957, 0.0000], [0.0000, 0.0000, 7.4957]], "species": ["Pb", "Pb", "Pb", "Pb", "Au", "Au", "Au", "Au", "Sn", "Sn"], "frac_coords": [[0.5000, 0.1678, 0.6678], [0.5000, 0.6678, 0.8322], [0.5000, 0.8322, 0.3322], [0.5000, 0.3322, 0.1678], [0.0000, 0.3657, 0.8657], [0.0000, 0.8657, 0.6343], [0.0000, 0.6343, 0.1343], [0.0000, 0.1343, 0.3657], [0.0000, 0.0000, 0.0000], [0.0000, 0.5000, 0.5000]]}